Compound: Tl4Sb2Pb3
Source: the Alexandria database
Functional: PBE-GGA
Structure: relaxed

Spin magnetization (Bohr magnetons per cell): 0.0
Final energy (hartree per atom): -0.1174

CIF file:
```
data_Tl4Sb2Pb3
_chemical_formula_sum 'Tl8 Sb4 Pb6'
_space_group_name_H-M_alt 'C 1 2/m 1'
_space_group_IT_number 12
_space_group_name_Hall '-C 2y'
_cell_length_a 15.504
_cell_length_b 4.408
_cell_length_c 8.794
_cell_angle_alpha 90.00
_cell_angle_beta 100.11
_cell_angle_gamma 90.00
loop_
_atom_site_label
_atom_site_type_symbol
_atom_site_fract_x
_atom_site_fract_y
_atom_site_fract_z
_atom_site_occupancy
Tl1 Tl 0.156 0.000 0.135 1
Tl2 Tl 0.164 0.500 0.476 1
Sb1 Sb 0.175 0.000 0.773 1
Pb1 Pb 0.000 0.000 0.500 1
Pb2 Pb 0.037 0.500 0.817 1
```

=====

Compound: TaTcCl
Source: the Alexandria database
Functional: PBE-GGA
Structure: relaxed

Offset from the most stable computed form (kJ/mol of formula units): 321.4
Spin magnetization (Bohr magnetons per cell): 0.0

CIF file:
```
data_TaTcCl
_chemical_formula_sum 'Ta4 Tc4 Cl4'
_space_group_name_H-M_alt 'F -4 3 m'
_space_group_IT_number 216
_space_group_name_Hall 'F -4 2 3'
_cell_length_a 6.116
_cell_length_b 6.116
_cell_length_c 6.116
_cell_angle_alpha 90.00
_cell_angle_beta 90.00
_cell_angle_gamma 90.00
loop_
_atom_site_label
_atom_site_type_symbol
_atom_site_fract_x
_atom_site_fract_y
_atom_site_fract_z
_atom_site_occupancy
Ta1 Ta 0.000 0.000 0.000 1
Tc1 Tc 0.250 0.250 0.250 1
Cl1 Cl 0.250 0.250 0.750 1
```

=====

Compound: ScTiGe3
Source: the Alexandria database
Functional: PBE-GGA
Structure: relaxed

Spin magnetization (Bohr magnetons per cell): 0.0
Calculated formation energy (eV/f.u.): 0.4

CIF file:
```
data_ScTiGe3
_chemical_formula_sum 'Sc1 Ti1 Ge3'
_space_group_name_H-M_alt 'P m -3 m'
_space_group_IT_number 221
_space_group_name_Hall '-P 4 2 3'
_cell_length_a 4.824
_cell_length_b 4.824
_cell_length_c 4.824
_cell_angle_alpha 90.00
_cell_angle_beta 90.00
_cell_angle_gamma 90.00
loop_
_atom_site_label
_atom_site_type_symbol
_atom_site_fract_x
_atom_site_fract_y
_atom_site_fract_z
_atom_site_occupancy
Sc1 Sc 0.000 0.000 0.000 1
Ti1 Ti 0.500 0.500 0.500 1
Ge1 Ge 0.000 0.500 0.500 1
```

=====

no.,volume (Å³ per atom)
1,32.9
2,19.1
3,22.4